Entry 1:
## Pm3Pa2Co4 (PBE)

Data for a relaxed Pm3Pa2Co4 crystal.

Cell lengths 11.5176, 3.7204, 9.1595 Å; angles 90.00, 102.09, 90.00 degrees
Space group C2/m (No. 12)
Inequivalent atoms, fractional coordinates:
Pm1 0.0000 0.0000 0.0000
Pm2 0.1246 0.5000 0.3836
Pa1 0.1797 0.5000 0.7793
Co1 0.0787 0.0000 0.6208
Co2 0.2067 0.5000 0.0717

---

Entry 2:
## Pm2PaCo9 (PBE)

Data for a relaxed Pm2PaCo9 crystal.

Cell lengths 4.9177, 4.9177, 25.2293 Å; angles 90.00, 90.00, 120.00 degrees
Space group R-3m (No. 166, hexagonal axes)
Inequivalent atoms, fractional coordinates:
Pm1 0.0000 0.0000 0.1393
Pa1 0.0000 0.0000 0.0000
Co1 0.0000 0.0000 0.3331
Co2 0.0000 0.0000 0.5000
Co3 0.0011 0.5005 0.0791

---

| no. | formation enthalpy at 0 K (meV/atom) | mass density (g cm⁻³) | energy (hartree per atom) |
| --- | --- | --- | --- |
| 1 | -262 | 9.80 | -0.261 |
| 2 | -117 | 9.91 | -0.258 |